(1)
The following is a DFT calculation (GGA-PBE) of a relaxed CsCaGaF6 crystal.

Calculated values
uncorrected formation energy = -2736 kJ/mol of formula units
crystal system = trigonal

The structure in CIF format:
```
data_CsCaGaF6
_chemical_formula_sum 'Cs1 Ca1 Ga1 F6'
_cell_length_a 5.765
_cell_length_b 5.765
_cell_length_c 6.304
_cell_angle_alpha 90.00
_cell_angle_beta 90.00
_cell_angle_gamma 120.00
_symmetry_space_group_name_H-M 'P 1'
_symmetry_Int_Tables_number 1
_symmetry_space_group_name_Hall 'P 1'
loop_
_atom_site_label
_atom_site_type_symbol
_atom_site_fract_x
_atom_site_fract_y
_atom_site_fract_z
_atom_site_occupancy
Cs1 Cs 0.000 0.000 0.000 1
Ca1 Ca 0.333 0.667 0.500 1
Ga1 Ga 0.667 0.333 0.500 1
F1 F 0.407 0.044 0.675 1
F2 F 0.407 0.363 0.325 1
F3 F 0.637 0.044 0.325 1
F4 F 0.637 0.593 0.675 1
F5 F 0.956 0.363 0.675 1
F6 F 0.956 0.593 0.325 1
```

***

(2)
The following is a DFT calculation (GGA-PBE) of a relaxed CsCaH2F crystal.

Calculated values
uncorrected energy = -3.719 eV per atom
crystal system = tetragonal

The structure in CIF format:
```
data_CsCaH2F
_chemical_formula_sum 'Cs1 Ca1 H2 F1'
_cell_length_a 4.624
_cell_length_b 4.624
_cell_length_c 4.562
_cell_angle_alpha 90.00
_cell_angle_beta 90.00
_cell_angle_gamma 90.00
_symmetry_space_group_name_H-M 'P 1'
_symmetry_Int_Tables_number 1
_symmetry_space_group_name_Hall 'P 1'
loop_
_atom_site_label
_atom_site_type_symbol
_atom_site_fract_x
_atom_site_fract_y
_atom_site_fract_z
_atom_site_occupancy
Cs1 Cs 0.000 0.000 0.000 1
Ca1 Ca 0.500 0.500 0.500 1
H1 H 0.000 0.500 0.500 1
H2 H 0.500 0.000 0.500 1
F1 F 0.500 0.500 0.000 1
```

***

(3)
The following is a DFT calculation (GGA-PBE) of a relaxed CsCaHF2 crystal.

Calculated values
uncorrected energy = -4.446 eV per atom
crystal system = tetragonal

The structure in CIF format:
```
data_CsCaHF2
_chemical_formula_sum 'Cs1 Ca1 H1 F2'
_cell_length_a 4.575
_cell_length_b 4.575
_cell_length_c 4.615
_cell_angle_alpha 90.00
_cell_angle_beta 90.00
_cell_angle_gamma 90.00
_symmetry_space_group_name_H-M 'P 1'
_symmetry_Int_Tables_number 1
_symmetry_space_group_name_Hall 'P 1'
loop_
_atom_site_label
_atom_site_type_symbol
_atom_site_fract_x
_atom_site_fract_y
_atom_site_fract_z
_atom_site_occupancy
Cs1 Cs 0.000 0.000 0.000 1
Ca1 Ca 0.500 0.500 0.500 1
H1 H 0.500 0.500 0.000 1
F1 F 0.000 0.500 0.500 1
F2 F 0.500 0.000 0.500 1
```

***

(4)
The following is a DFT calculation (GGA-PBE) of a relaxed CsCaHg2F crystal.

Calculated values
uncorrected formation energy = -561 kJ/mol of formula units
crystal system = tetragonal

The structure in CIF format:
```
data_CsCaHg2F
_chemical_formula_sum 'Cs1 Ca1 Hg2 F1'
_cell_length_a 6.599
_cell_length_b 6.599
_cell_length_c 4.349
_cell_angle_alpha 90.00
_cell_angle_beta 90.00
_cell_angle_gamma 90.00
_symmetry_space_group_name_H-M 'P 1'
_symmetry_Int_Tables_number 1
_symmetry_space_group_name_Hall 'P 1'
loop_
_atom_site_label
_atom_site_type_symbol
_atom_site_fract_x
_atom_site_fract_y
_atom_site_fract_z
_atom_site_occupancy
Cs1 Cs 0.000 0.000 0.000 1
Ca1 Ca 0.500 0.500 0.500 1
Hg1 Hg 0.000 0.500 0.500 1
Hg2 Hg 0.500 0.000 0.500 1
F1 F 0.500 0.500 0.000 1
```

***

(5)
The following is a DFT calculation (GGA-PBE) of a relaxed Cs3CaHg2F9 crystal.

Calculated values
uncorrected formation energy = -3614 kJ/mol of formula units
crystal system = trigonal

The structure in CIF format:
```
data_Cs3CaHg2F9
_chemical_formula_sum 'Cs3 Ca1 Hg2 F9'
_cell_length_a 6.556
_cell_length_b 6.556
_cell_length_c 8.037
_cell_angle_alpha 90.00
_cell_angle_beta 90.00
_cell_angle_gamma 120.00
_symmetry_space_group_name_H-M 'P 1'
_symmetry_Int_Tables_number 1
_symmetry_space_group_name_Hall 'P 1'
loop_
_atom_site_label
_atom_site_type_symbol
_atom_site_fract_x
_atom_site_fract_y
_atom_site_fract_z
_atom_site_occupancy
Cs1 Cs 0.000 0.000 0.000 1
Cs2 Cs 0.333 0.667 0.673 1
Cs3 Cs 0.667 0.333 0.327 1
Ca1 Ca 0.000 0.000 0.500 1
Hg1 Hg 0.333 0.667 0.173 1
Hg2 Hg 0.667 0.333 0.827 1
F1 F 0.000 0.500 0.000 1
F2 F 0.163 0.327 0.337 1
F3 F 0.163 0.837 0.337 1
F4 F 0.327 0.163 0.663 1
F5 F 0.500 0.000 0.000 1
F6 F 0.500 0.500 0.000 1
F7 F 0.673 0.837 0.337 1
F8 F 0.837 0.163 0.663 1
F9 F 0.837 0.673 0.663 1
```

***

(6)
The following is a DFT calculation (GGA-PBE) of a relaxed Cs2Ca3HoF12 crystal.

Calculated values
uncorrected formation energy = -6006 kJ/mol of formula units
crystal system = trigonal

The structure in CIF format:
```
data_Cs2Ca3HoF12
_chemical_formula_sum 'Cs2 Ca3 Ho1 F12'
_cell_length_a 8.298
_cell_length_b 8.298
_cell_length_c 8.298
_cell_angle_alpha 59.04
_cell_angle_beta 59.04
_cell_angle_gamma 59.04
_symmetry_space_group_name_H-M 'P 1'
_symmetry_Int_Tables_number 1
_symmetry_space_group_name_Hall 'P 1'
loop_
_atom_site_label
_atom_site_type_symbol
_atom_site_fract_x
_atom_site_fract_y
_atom_site_fract_z
_atom_site_occupancy
Cs1 Cs 0.112 0.112 0.112 1
Cs2 Cs 0.888 0.888 0.888 1
Ca1 Ca 0.000 0.500 0.500 1
Ca2 Ca 0.500 0.000 0.500 1
Ca3 Ca 0.500 0.500 0.000 1
Ho1 Ho 0.500 0.500 0.500 1
F1 F 0.167 0.167 0.583 1
F2 F 0.167 0.583 0.167 1
F3 F 0.188 0.566 0.566 1
F4 F 0.417 0.833 0.833 1
F5 F 0.434 0.434 0.812 1
F6 F 0.434 0.812 0.434 1
F7 F 0.566 0.188 0.566 1
F8 F 0.566 0.566 0.188 1
F9 F 0.583 0.167 0.167 1
F10 F 0.812 0.434 0.434 1
F11 F 0.833 0.417 0.833 1
F12 F 0.833 0.833 0.417 1
```

***

(7)
The following is a DFT calculation (GGA-PBE) of a relaxed CsCaI2F crystal.

Calculated values
uncorrected formation energy = -1072 kJ/mol of formula units
crystal system = tetragonal

The structure in CIF format:
```
data_CsCaI2F
_chemical_formula_sum 'Cs1 Ca1 I2 F1'
_cell_length_a 6.484
_cell_length_b 6.484
_cell_length_c 4.434
_cell_angle_alpha 90.00
_cell_angle_beta 90.00
_cell_angle_gamma 90.00
_symmetry_space_group_name_H-M 'P 1'
_symmetry_Int_Tables_number 1
_symmetry_space_group_name_Hall 'P 1'
loop_
_atom_site_label
_atom_site_type_symbol
_atom_site_fract_x
_atom_site_fract_y
_atom_site_fract_z
_atom_site_occupancy
Cs1 Cs 0.000 0.000 0.000 1
Ca1 Ca 0.500 0.500 0.500 1
I1 I 0.000 0.500 0.500 1
I2 I 0.500 0.000 0.500 1
F1 F 0.500 0.500 0.000 1
```

***

(8)
The following is a DFT calculation (GGA-PBE) of a relaxed CsCaIF2 crystal.

Calculated values
uncorrected formation energy = -1272 kJ/mol of formula units
crystal system = tetragonal

The structure in CIF format:
```
data_CsCaIF2
_chemical_formula_sum 'Cs1 Ca1 I1 F2'
_cell_length_a 4.870
_cell_length_b 4.870
_cell_length_c 6.298
_cell_angle_alpha 90.00
_cell_angle_beta 90.00
_cell_angle_gamma 90.00
_symmetry_space_group_name_H-M 'P 1'
_symmetry_Int_Tables_number 1
_symmetry_space_group_name_Hall 'P 1'
loop_
_atom_site_label
_atom_site_type_symbol
_atom_site_fract_x
_atom_site_fract_y
_atom_site_fract_z
_atom_site_occupancy
Cs1 Cs 0.000 0.000 0.000 1
Ca1 Ca 0.500 0.500 0.500 1
I1 I 0.500 0.500 0.000 1
F1 F 0.000 0.500 0.500 1
F2 F 0.500 0.000 0.500 1
```

***

(9)
The following is a DFT calculation (GGA-PBE) of a relaxed Cs2CaI6F crystal.

Calculated values
uncorrected formation energy = -968 kJ/mol of formula units
crystal system = tetragonal

The structure in CIF format:
```
data_Cs2CaI6F
_chemical_formula_sum 'Cs2 Ca1 I6 F1'
_cell_length_a 8.946
_cell_length_b 8.946
_cell_length_c 8.946
_cell_angle_alpha 126.02
_cell_angle_beta 126.02
_cell_angle_gamma 79.85
_symmetry_space_group_name_H-M 'P 1'
_symmetry_Int_Tables_number 1
_symmetry_space_group_name_Hall 'P 1'
loop_
_atom_site_label
_atom_site_type_symbol
_atom_site_fract_x
_atom_site_fract_y
_atom_site_fract_z
_atom_site_occupancy
Cs1 Cs 0.250 0.750 0.500 1
Cs2 Cs 0.750 0.250 0.500 1
Ca1 Ca 0.000 0.000 0.000 1
I1 I 0.223 0.223 0.000 1
I2 I 0.271 0.271 0.542 1
I3 I 0.271 0.729 0.000 1
I4 I 0.729 0.271 0.000 1
I5 I 0.729 0.729 0.458 1
I6 I 0.777 0.777 0.000 1
F1 F 0.500 0.500 0.000 1
```

***

(10)
The following is a DFT calculation (GGA-PBE) of a relaxed Cs4Ca3InF12 crystal.

Calculated values
uncorrected formation energy = -6150 kJ/mol of formula units
crystal system = cubic

The structure in CIF format:
```
data_Cs4Ca3InF12
_chemical_formula_sum 'Cs4 Ca3 In1 F12'
_cell_length_a 7.979
_cell_length_b 7.979
_cell_length_c 7.979
_cell_angle_alpha 109.47
_cell_angle_beta 109.47
_cell_angle_gamma 109.47
_symmetry_space_group_name_H-M 'P 1'
_symmetry_Int_Tables_number 1
_symmetry_space_group_name_Hall 'P 1'
loop_
_atom_site_label
_atom_site_type_symbol
_atom_site_fract_x
_atom_site_fract_y
_atom_site_fract_z
_atom_site_occupancy
Cs1 Cs 0.000 0.000 0.500 1
Cs2 Cs 0.000 0.500 0.000 1
Cs3 Cs 0.500 0.000 0.000 1
Cs4 Cs 0.500 0.500 0.500 1
Ca1 Ca 0.000 0.500 0.500 1
Ca2 Ca 0.500 0.000 0.500 1
Ca3 Ca 0.500 0.500 0.000 1
In1 In 0.000 0.000 0.000 1
F1 F 0.000 0.254 0.254 1
F2 F 0.000 0.746 0.746 1
F3 F 0.250 0.500 0.750 1
F4 F 0.250 0.750 0.500 1
F5 F 0.254 0.000 0.254 1
F6 F 0.254 0.254 0.000 1
F7 F 0.500 0.250 0.750 1
F8 F 0.500 0.750 0.250 1
F9 F 0.746 0.000 0.746 1
F10 F 0.746 0.746 0.000 1
F11 F 0.750 0.250 0.500 1
F12 F 0.750 0.500 0.250 1
```

***

(11)
The following is a DFT calculation (GGA-PBE) of a relaxed CsK2CaF5 crystal.

Calculated values
uncorrected formation energy = -2713 kJ/mol of formula units
crystal system = orthorhombic

The structure in CIF format:
```
data_CsK2CaF5
_chemical_formula_sum 'Cs1 K2 Ca1 F5'
_cell_length_a 7.513
_cell_length_b 7.513
_cell_length_c 7.513
_cell_angle_alpha 145.61
_cell_angle_beta 128.20
_cell_angle_gamma 63.67
_symmetry_space_group_name_H-M 'P 1'
_symmetry_Int_Tables_number 1
_symmetry_space_group_name_Hall 'P 1'
loop_
_atom_site_label
_atom_site_type_symbol
_atom_site_fract_x
_atom_site_fract_y
_atom_site_fract_z
_atom_site_occupancy
Cs1 Cs 0.000 0.000 0.000 1
K1 K 0.284 0.784 0.500 1
K2 K 0.716 0.216 0.500 1
Ca1 Ca 0.500 0.500 0.000 1
F1 F 0.135 0.369 0.766 1
F2 F 0.397 0.631 0.766 1
F3 F 0.500 0.000 0.500 1
F4 F 0.603 0.369 0.234 1
F5 F 0.865 0.631 0.234 1
```

***

(12)
The following is a DFT calculation (GGA-PBE) of a relaxed Cs4KCa3F12 crystal.

Calculated values
uncorrected formation energy = -6042 kJ/mol of formula units
crystal system = cubic

The structure in CIF format:
```
data_Cs4KCa3F12
_chemical_formula_sum 'Cs4 K1 Ca3 F12'
_cell_length_a 8.123
_cell_length_b 8.123
_cell_length_c 8.123
_cell_angle_alpha 109.47
_cell_angle_beta 109.47
_cell_angle_gamma 109.47
_symmetry_space_group_name_H-M 'P 1'
_symmetry_Int_Tables_number 1
_symmetry_space_group_name_Hall 'P 1'
loop_
_atom_site_label
_atom_site_type_symbol
_atom_site_fract_x
_atom_site_fract_y
_atom_site_fract_z
_atom_site_occupancy
Cs1 Cs 0.000 0.000 0.500 1
Cs2 Cs 0.000 0.500 0.000 1
Cs3 Cs 0.500 0.000 0.000 1
Cs4 Cs 0.500 0.500 0.500 1
K1 K 0.000 0.000 0.000 1
Ca1 Ca 0.000 0.500 0.500 1
Ca2 Ca 0.500 0.000 0.500 1
Ca3 Ca 0.500 0.500 0.000 1
F1 F 0.000 0.267 0.267 1
F2 F 0.000 0.733 0.733 1
F3 F 0.250 0.500 0.750 1
F4 F 0.250 0.750 0.500 1
F5 F 0.267 0.000 0.267 1
F6 F 0.267 0.267 0.000 1
F7 F 0.500 0.250 0.750 1
F8 F 0.500 0.750 0.250 1
F9 F 0.733 0.000 0.733 1
F10 F 0.733 0.733 0.000 1
F11 F 0.750 0.250 0.500 1
F12 F 0.750 0.500 0.250 1
```